BeFe2Sb after structural relaxation, computed with PBE.

Lattice parameters (Å, degrees): 3.668 3.668 8.886 78.09 78.09 90.00
Last column: magnetic moment on the atom in μB.
Fractional positions:
Fe 0.375 0.428 0.750  1.88
Be 0.250 0.750 0.500  -0.05
Fe 0.875 0.822 0.750  1.88
Sb 0.000 0.000 0.000  -0.07
Be 0.500 0.500 0.000  -0.05
Sb 0.750 0.250 0.500  -0.07
Fe 0.572 0.125 0.250  1.88
Fe 0.178 0.625 0.250  1.88

## Properties
Formation energy without anion corrections ... 0.435 eV per atom
Uncorrected energy ... -5.76 eV/atom
Space group ... No. 122
Crystal system ... tetragonal
DOS(E_F) ... 2.5 states/eV/f.u.